#A
Ta2BiW2, relaxed, DFT GGA-PBE; magnetization = 0.00 μB per atom; mass density = 15.3 g/cm³
1.0
8.408 0.000 0.000
0.000 8.408 0.000
0.000 0.000 2.883
Ta Bi W
4 2 4
direct
0.143 0.357 0.000
0.357 0.857 0.000
0.643 0.143 0.000
0.857 0.643 0.000
0.000 0.000 0.000
0.500 0.500 0.000
0.148 0.648 0.500
0.352 0.148 0.500
0.648 0.852 0.500
0.852 0.352 0.500

***

#B
Ta2BiW2, relaxed, DFT GGA-PBE; magnetization = 0.00 μB per atom; mass density = 14.9 g/cm³
1.0
-1.857 1.857 7.602
1.857 -1.857 7.602
1.857 1.857 -7.602
Ta Bi W
2 1 2
direct
0.112 0.112 0.000
0.888 0.888 0.000
0.500 0.500 0.000
0.250 0.750 0.500
0.750 0.250 0.500

***

From most stable to least stable, the computed energies give #A, #B.

***

#A
TaBi2W, relaxed, DFT GGA-PBE; magnetization = 0.14 μB per atom; mass density = 13.3 g/cm³
1.0
-4.044 4.044 2.998
4.044 -4.044 2.998
4.044 4.044 -2.998
Ta Bi W
2 4 2
direct
0.000 0.000 0.000
0.750 0.250 0.500
0.137 0.125 0.512
0.375 0.863 0.988
0.613 0.625 0.488
0.875 0.387 0.012
0.250 0.750 0.500
0.500 0.500 0.000

***

#B
TaBi2W, relaxed, DFT GGA-PBE; magnetization = 0.00 μB per atom; mass density = 15.4 g/cm³
1.0
0.000 3.480 3.480
3.480 0.000 3.480
3.480 3.480 0.000
Ta Bi W
1 2 1
direct
0.000 0.000 0.000
0.250 0.250 0.250
0.750 0.750 0.750
0.500 0.500 0.500

***

From most stable to least stable, the computed energies give #B, #A.

***

#A
TaZn3Bi, relaxed, DFT GGA-PBE; magnetization = 0.58 μB per atom; mass density = 6.9 g/cm³
1.0
5.210 0.000 0.000
0.000 5.210 0.000
0.000 0.000 5.210
Ta Zn Bi
1 3 1
direct
0.000 0.000 0.000
0.000 0.500 0.500
0.500 0.000 0.500
0.500 0.500 0.000
0.500 0.500 0.500

***

#B
TaZn3Bi, relaxed, DFT GGA-PBE; magnetization = 0.00 μB per atom; mass density = 7.7 g/cm³
1.0
5.017 0.000 0.000
0.000 5.017 0.000
0.000 0.000 5.017
Ta Zn Bi
1 3 1
direct
0.000 0.000 0.000
0.000 0.000 0.500
0.000 0.500 0.000
0.500 0.000 0.000
0.500 0.500 0.500

***

From most stable to least stable, the computed energies give #B, #A.

***

#A
Ta3ZnBi, relaxed, DFT GGA-PBE; magnetization = 0.00 μB per atom; mass density = 12.4 g/cm³
1.0
4.777 0.000 0.000
0.000 4.777 0.000
0.000 0.000 4.777
Ta Zn Bi
3 1 1
direct
0.000 0.000 0.500
0.000 0.500 0.000
0.500 0.000 0.000
0.000 0.000 0.000
0.500 0.500 0.500

***

#B
Ta3ZnBi, relaxed, DFT GGA-PBE; magnetization = 0.00 μB per atom; mass density = 10.0 g/cm³
1.0
5.134 0.000 0.000
0.000 5.134 0.000
0.000 0.000 5.134
Ta Zn Bi
3 1 1
direct
0.000 0.000 0.500
0.000 0.500 0.000
0.500 0.000 0.000
0.500 0.500 0.500
0.000 0.000 0.000

***

From most stable to least stable, the computed energies give #A, #B.

***

#A
Tb5Bi3, relaxed, DFT GGA-PBE; magnetization = 0.00 μB per atom; mass density = 9.8 g/cm³
1.0
12.106 0.000 0.000
0.000 9.566 0.000
0.000 0.000 8.314
Tb Bi
20 12
direct
0.004 0.250 0.021
0.064 0.061 0.689
0.064 0.439 0.689
0.210 0.750 0.340
0.227 0.250 0.328
0.273 0.750 0.828
0.290 0.250 0.840
0.436 0.561 0.189
0.436 0.939 0.189
0.496 0.750 0.521
0.504 0.250 0.479
0.564 0.061 0.811
0.564 0.439 0.811
0.710 0.750 0.160
0.727 0.250 0.172
0.773 0.750 0.672
0.790 0.250 0.660
0.936 0.561 0.311
0.936 0.939 0.311
0.996 0.750 0.979
0.029 0.750 0.600
0.175 0.508 0.063
0.175 0.992 0.063
0.325 0.008 0.563
0.325 0.492 0.563
0.471 0.250 0.100
0.529 0.750 0.900
0.675 0.508 0.437
0.675 0.992 0.437
0.825 0.008 0.937
0.825 0.492 0.937
0.971 0.250 0.400

***

#B
Tb5Bi3, relaxed, DFT GGA-PBE; magnetization = 0.04 μB per atom; mass density = 10.0 g/cm³
1.0
9.220 0.000 0.000
-4.610 7.985 0.000
0.000 0.000 6.401
Tb Bi
10 6
direct
0.000 0.244 0.250
0.000 0.756 0.750
0.244 0.000 0.250
0.244 0.244 0.750
0.333 0.667 0.000
0.333 0.667 0.500
0.667 0.333 0.000
0.667 0.333 0.500
0.756 0.000 0.750
0.756 0.756 0.250
0.000 0.389 0.750
0.000 0.611 0.250
0.389 0.000 0.750
0.389 0.389 0.250
0.611 0.000 0.250
0.611 0.611 0.750

***

From most stable to least stable, the computed energies give #B, #A.

***

#A
Tb3BiTe, relaxed, DFT GGA-PBE; magnetization = 0.00 μB per atom; mass density = 8.3 g/cm³
1.0
8.628 0.000 0.000
0.000 4.256 0.000
-0.347 0.000 8.900
Tb Bi Te
6 2 2
direct
0.119 0.250 0.366
0.344 0.250 0.992
0.377 0.750 0.630
0.623 0.250 0.370
0.656 0.750 0.008
0.881 0.750 0.634
0.367 0.750 0.261
0.633 0.250 0.739
0.130 0.250 0.709
0.870 0.750 0.291

***

#B
Tb3BiTe, relaxed, DFT GGA-PBE; magnetization = 0.00 μB per atom; mass density = 8.9 g/cm³
1.0
8.249 0.000 0.000
0.000 4.402 0.000
0.000 0.000 16.628
Tb Bi Te
12 4 4
direct
0.013 0.250 0.105
0.139 0.250 0.563
0.166 0.750 0.272
0.334 0.250 0.772
0.361 0.750 0.063
0.487 0.750 0.605
0.513 0.250 0.395
0.639 0.250 0.937
0.666 0.750 0.228
0.834 0.250 0.728
0.861 0.750 0.437
0.987 0.750 0.895
0.109 0.750 0.701
0.391 0.250 0.201
0.609 0.750 0.799
0.891 0.250 0.299
0.240 0.250 0.949
0.260 0.750 0.449
0.740 0.250 0.551
0.760 0.750 0.051

***

From most stable to least stable, the computed energies give #B, #A.

***

#A
TbThBi, relaxed, DFT GGA-PBE; magnetization = 0.10 μB per atom; mass density = 9.3 g/cm³
1.0
8.208 0.000 0.000
0.000 8.208 0.000
0.000 0.000 6.334
Tb Th Bi
4 4 4
direct
0.000 0.204 0.000
0.000 0.796 0.000
0.204 0.000 0.500
0.796 0.000 0.500
0.207 0.500 0.500
0.500 0.207 0.000
0.500 0.793 0.000
0.793 0.500 0.500
0.245 0.500 0.000
0.500 0.245 0.500
0.500 0.755 0.500
0.755 0.500 0.000

***

#B
TbThBi, relaxed, DFT GGA-PBE; magnetization = 0.00 μB per atom; mass density = 10.6 g/cm³
1.0
4.549 0.000 0.000
0.000 4.549 0.000
0.000 0.000 9.061
Tb Th Bi
2 2 2
direct
0.250 0.250 0.142
0.750 0.750 0.858
0.250 0.750 0.500
0.750 0.250 0.500
0.250 0.250 0.789
0.750 0.750 0.211

***

#C
TbThBi, relaxed, DFT GGA-PBE; magnetization = 0.00 μB per atom; mass density = 10.6 g/cm³
1.0
-2.046 2.046 5.605
2.046 -2.046 5.605
2.046 2.046 -5.605
Tb Th Bi
1 1 1
direct
0.000 0.000 0.000
0.309 0.309 0.000
0.645 0.645 0.000

***

#D
TbThBi, relaxed, DFT GGA-PBE; magnetization = 0.00 μB per atom; mass density = 10.4 g/cm³
1.0
5.500 0.000 0.000
-2.750 4.763 0.000
0.000 0.000 3.649
Tb Th Bi
1 1 1
direct
0.000 0.000 0.000
0.333 0.667 0.484
0.667 0.333 0.782

***

From most stable to least stable, the computed energies give #B, #C, #D, #A.

***

#A
TbTh2Bi, relaxed, DFT GGA-PBE; magnetization = 0.00 μB per atom; mass density = 10.3 g/cm³
1.0
1.755 1.013 12.567
-1.755 1.013 12.567
0.000 -2.027 12.567
Tb Th Bi
1 2 1
direct
0.000 0.000 0.000
0.412 0.412 0.412
0.588 0.588 0.588
0.500 0.500 0.500

***

#B
TbTh2Bi, relaxed, DFT GGA-PBE; magnetization = 0.00 μB per atom; mass density = 11.5 g/cm³
1.0
4.764 0.000 0.000
0.000 4.764 0.000
0.000 0.000 5.315
Tb Th Bi
1 2 1
direct
0.000 0.000 0.000
0.000 0.500 0.500
0.500 0.000 0.500
0.500 0.500 0.000

***

From most stable to least stable, the computed energies give #B, #A.

***

#A
TbTm3Bi3, relaxed, DFT GGA-PBE; magnetization = 0.00 μB per atom; mass density = 10.6 g/cm³
1.0
9.318 0.000 0.000
0.000 9.318 0.000
0.000 0.000 9.318
Tb Tm Bi
4 12 12
direct
0.072 0.428 0.572
0.428 0.572 0.072
0.572 0.072 0.428
0.928 0.928 0.928
0.077 0.577 0.923
0.176 0.824 0.324
0.177 0.177 0.177
0.323 0.823 0.677
0.324 0.176 0.824
0.423 0.423 0.423
0.577 0.923 0.077
0.676 0.676 0.676
0.677 0.323 0.823
0.823 0.677 0.323
0.824 0.324 0.176
0.923 0.077 0.577
0.001 0.254 0.877
0.123 0.501 0.246
0.246 0.123 0.501
0.254 0.877 0.001
0.377 0.499 0.746
0.499 0.746 0.377
0.501 0.246 0.123
0.623 0.999 0.754
0.746 0.377 0.499
0.754 0.623 0.999
0.877 0.001 0.254
0.999 0.754 0.623

***

#B
TbTm3Bi3, relaxed, DFT GGA-PBE; magnetization = 0.00 μB per atom; mass density = 9.8 g/cm³
1.0
4.511 2.604 6.242
-4.511 2.604 6.242
0.000 -5.209 6.242
Tb Tm Bi
2 6 6
direct
0.166 0.166 0.166
0.834 0.834 0.834
0.167 0.672 0.419
0.328 0.581 0.833
0.419 0.167 0.672
0.581 0.833 0.328
0.672 0.419 0.167
0.833 0.328 0.581
0.022 0.415 0.804
0.196 0.978 0.585
0.415 0.804 0.022
0.585 0.196 0.978
0.804 0.022 0.415
0.978 0.585 0.196

***

From most stable to least stable, the computed energies give #A, #B.

***

#A
TbTmBi2, relaxed, DFT GGA-PBE; magnetization = 0.00 μB per atom; mass density = 9.7 g/cm³
1.0
2.214 1.278 7.555
-2.214 1.278 7.555
0.000 -2.556 7.555
Tb Tm Bi
1 1 2
direct
0.000 0.000 0.000
0.830 0.830 0.830
0.245 0.245 0.245
0.418 0.418 0.418

***

#B
TbTmBi2, relaxed, DFT GGA-PBE; magnetization = 0.00 μB per atom; mass density = 9.9 g/cm³
1.0
4.460 0.000 0.000
0.000 6.306 0.000
0.000 0.000 8.919
Tb Tm Bi
2 2 4
direct
0.250 0.250 0.125
0.750 0.750 0.875
0.250 0.250 0.625
0.750 0.750 0.375
0.250 0.750 0.128
0.250 0.750 0.622
0.750 0.250 0.378
0.750 0.250 0.872

***

From most stable to least stable, the computed energies give #B, #A.